# 1
The following is a PBE calculation of a relaxed structure of Sc2AlZn2Ga, from the Open Quantum Materials Database.

Results
Magnetic moment: 0.00 μB/f.u.
Final energy: -4.00 eV per atom

Lattice parameters (Å, degrees): 10.6457 4.3450 10.6465 90.00 109.47 90.00
Space group Pm (No. 6)
Asymmetric unit:
1 Sc 0.0000 0.0000 0.0000 [1 per cell]
2 Sc 0.1238 0.5000 0.3717 [1 per cell]
3 Sc 0.2478 0.0000 0.7500 [1 per cell]
4 Sc 0.3729 0.5000 0.1250 [1 per cell]
5 Sc 0.4988 0.0000 0.4966 [1 per cell]
6 Sc 0.6251 0.5000 0.8751 [1 per cell]
7 Sc 0.7489 0.0000 0.2490 [1 per cell]
8 Sc 0.8739 0.5000 0.6239 [1 per cell]
9 Al 0.3739 0.5000 0.6240 [1 per cell]
10 Al 0.4987 0.0000 0.9988 [1 per cell]
11 Al 0.7487 0.0000 0.7488 [1 per cell]
12 Al 0.9992 0.0000 0.4988 [1 per cell]
13 Zn 0.1236 0.5000 0.1233 [1 per cell]
14 Zn 0.2489 0.0000 0.4997 [1 per cell]
15 Zn 0.3748 0.5000 0.8746 [1 per cell]
16 Zn 0.4989 0.0000 0.2474 [1 per cell]
17 Zn 0.6237 0.5000 0.6245 [1 per cell]
18 Zn 0.7491 0.0000 0.9988 [1 per cell]
19 Zn 0.8747 0.5000 0.3745 [1 per cell]
20 Zn 0.9978 0.0000 0.7488 [1 per cell]
21 Ga 0.1239 0.5000 0.8739 [1 per cell]
22 Ga 0.2489 0.0000 0.2491 [1 per cell]
23 Ga 0.6241 0.5000 0.3739 [1 per cell]
24 Ga 0.8739 0.5000 0.1240 [1 per cell]

---

# 2
The following is a PBE calculation of a relaxed structure of PaPdNO, from the Open Quantum Materials Database.

Results
Magnetic moment: 0.00 μB/f.u.
ΔE to the lowest computed polymorph: 18.8 kJ/mol of atoms

Lattice parameters (Å, degrees): 3.5913 3.5913 8.0333 90.00 90.00 90.00
Space group P4/nmm (No. 129, origin choice 2)
Asymmetric unit:
1 Pa 0.2500 0.2500 0.1876 [2 per cell]
2 Pd 0.2500 0.7500 0.5000 [2 per cell]
3 N 0.2500 0.2500 0.7353 [2 per cell]
4 O 0.2500 0.7500 0.0000 [2 per cell]

---

# 3
The following is a PBE calculation of a relaxed structure of CsSmFeS3, from the Open Quantum Materials Database.

Results
Magnetic moment: 4.00 μB/f.u.
ΔE to the lowest computed polymorph: 0.3 kJ/mol of atoms

Lattice parameters (Å, degrees): 15.7741 4.0580 10.9419 90.00 90.00 90.00
Space group Pnma (No. 62)
Asymmetric unit:
1 Cs 0.2350 0.2500 0.0252 [4 per cell]
2 Sm 0.0138 0.2500 0.3433 [4 per cell]
3 Fe 0.0108 0.7500 0.0862 [4 per cell]
4 S 0.0700 0.7500 0.8909 [4 per cell]
5 S 0.0903 0.2500 0.5697 [4 per cell]
6 S 0.1133 0.7500 0.2343 [4 per cell]

---

# 4
The following is a PBE calculation of a relaxed structure of Nb4ZnB3, from the Open Quantum Materials Database.

Results
Magnetic moment: 0.00 μB/f.u.
Final energy: -8.11 eV per atom

Lattice parameters (Å, degrees): 3.2819 3.2819 23.8344 90.00 90.00 120.00
Space group P6_3/mmc (No. 194)
Asymmetric unit:
1 Nb 0.0000 0.0000 0.1617 [4 per cell]
2 Nb 0.3333 0.6667 0.0541 [4 per cell]
3 Zn 0.3333 0.6667 0.2500 [2 per cell]
4 B 0.0000 0.0000 0.0000 [2 per cell]
5 B 0.3333 0.6667 0.6127 [4 per cell]

---

# 5
The following is a PBE calculation of a relaxed structure of ScSnAuSe3, from the Open Quantum Materials Database.

Results
Magnetic moment: 0.00 μB/f.u.
ΔE to the lowest computed polymorph: 7.3 kJ/mol of atoms

Lattice parameters (Å, degrees): 13.3668 3.9562 10.6427 90.00 90.00 90.00
Space group Pnma (No. 62)
Asymmetric unit:
1 Sc 0.0106 0.2500 0.1710 [4 per cell]
2 Sn 0.2230 0.2500 0.4488 [4 per cell]
3 Au 0.0100 0.7500 0.4022 [4 per cell]
4 Se 0.1032 0.2500 0.9405 [4 per cell]
5 Se 0.1272 0.7500 0.6351 [4 per cell]
6 Se 0.1479 0.7500 0.2337 [4 per cell]

---

# 6
The following is a PBE calculation of a relaxed structure of Y2AuC, from the Open Quantum Materials Database.

Results
Magnetic moment: 0.00 μB/f.u.
Final energy: -6.88 eV per atom

Lattice parameters (Å, degrees): 3.6929 3.6929 14.0964 90.00 90.00 120.00
Space group P6_3/mmc (No. 194)
Asymmetric unit:
1 Y 0.3333 0.6667 0.0946 [4 per cell]
2 Au 0.3333 0.6667 0.7500 [2 per cell]
3 C 0.0000 0.0000 0.0000 [2 per cell]

---

# 7
The following is a PBE calculation of a relaxed structure of GaBOs, from the Open Quantum Materials Database.

Results
Magnetic moment: 0.00 μB/f.u.
Final energy: -6.69 eV per atom

Lattice parameters (Å, degrees): 5.2952 5.2952 5.2952 90.00 90.00 90.00
Space group F-43m (No. 216)
Asymmetric unit:
1 Ga 0.0000 0.0000 0.0000 [4 per cell]
2 B 0.2500 0.2500 0.2500 [4 per cell]
3 Os 0.0000 0.0000 0.5000 [4 per cell]

---

# 8
The following is a PBE calculation of a relaxed structure of Sm2Cd3I, from the Open Quantum Materials Database.

Results
Magnetic moment: 0.02 μB/f.u.
Final energy: -2.54 eV per atom

Lattice parameters (Å, degrees): 6.4137 3.7928 7.6815 90.00 105.95 90.00
Space group Pm (No. 6)
Asymmetric unit:
1 Sm 0.0000 0.0000 0.0000 [1 per cell]
2 Sm 0.4781 0.5000 0.0037 [1 per cell]
3 Cd 0.2085 0.0000 0.6485 [1 per cell]
4 Cd 0.2245 0.5000 0.3328 [1 per cell]
5 Cd 0.7823 0.0000 0.3244 [1 per cell]
6 I 0.7138 0.5000 0.6888 [1 per cell]

---

# 9
The following is a PBE calculation of a relaxed structure of HfBeNb, from the Open Quantum Materials Database.

Results
Magnetic moment: 0.01 μB/f.u.
ΔE to the lowest computed polymorph: 0.0 kJ/mol of atoms

Lattice parameters (Å, degrees): 5.9328 5.9328 5.9328 90.00 90.00 90.00
Space group F-43m (No. 216)
Asymmetric unit:
1 Hf 0.0000 0.0000 0.0000 [4 per cell]
2 Be 0.2500 0.2500 0.2500 [4 per cell]
3 Nb 0.0000 0.0000 0.5000 [4 per cell]

---

# 10
The following is a PBE calculation of a relaxed structure of CsPrRe, from the Open Quantum Materials Database.

Results
Magnetic moment: 2.52 μB/f.u.
ΔE to the lowest computed polymorph: 25.1 kJ/mol of atoms

Lattice parameters (Å, degrees): 7.2318 7.2318 7.2318 90.00 90.00 90.00
Space group F-43m (No. 216)
Asymmetric unit:
1 Cs 0.0000 0.0000 0.0000 [4 per cell]
2 Pr 0.2500 0.2500 0.2500 [4 per cell]
3 Re 0.2500 0.2500 0.7500 [4 per cell]

---

# 11
The following is a PBE calculation of a relaxed structure of NdHoI6, from the Open Quantum Materials Database.

Results
Magnetic moment: 0.01 μB/f.u.
Final energy: -3.74 eV per atom

Lattice parameters (Å, degrees): 7.7410 13.4288 7.7079 90.00 109.13 90.00
Space group C2 (No. 5)
Asymmetric unit:
1 Nd 0.0000 0.0000 0.0000 [2 per cell]
2 Ho 0.0000 0.3320 0.0000 [2 per cell]
3 I 0.2266 0.1711 0.2480 [4 per cell]
4 I 0.2390 0.3385 0.7574 [4 per cell]
5 I 0.2457 0.4883 0.2430 [4 per cell]

---

# 12
The following is a PBE calculation of a relaxed structure of MgBeFeW, from the Open Quantum Materials Database.

Results
Magnetic moment: 0.00 μB/f.u.
ΔE to the lowest computed polymorph: 11.9 kJ/mol of atoms

Lattice parameters (Å, degrees): 5.8686 5.8686 5.8686 90.00 90.00 90.00
Space group F-43m (No. 216)
Asymmetric unit:
1 Mg 0.0000 0.0000 0.0000 [4 per cell]
2 Be 0.2500 0.2500 0.2500 [4 per cell]
3 Fe 0.0000 0.0000 0.5000 [4 per cell]
4 W 0.2500 0.2500 0.7500 [4 per cell]

---

Look up the magnetic moment of the ninth one. 0.01 μB/f.u.